1.
Below is a geometry-optimized ZrI2 structure, with properties calculated at the GGA-PBEsol level. Values from VASP.

```
&SYSTEM
  ibrav = 0, nat = 12, ntyp = 2
/
ATOMIC_SPECIES
Zr 91.22 Zr.upf
I 126.90 I.upf
CELL_PARAMETERS angstrom
6.781 0.000 0.000
0.000 3.695 0.000
-1.445 0.000 15.077
ATOMIC_POSITIONS crystal
Zr 0.189 0.250 0.496
Zr 0.309 0.750 0.996
Zr 0.691 0.250 0.004
Zr 0.811 0.750 0.504
I 0.048 0.750 0.356
I 0.100 0.250 0.108
I 0.391 0.250 0.856
I 0.446 0.750 0.608
I 0.554 0.250 0.392
I 0.609 0.750 0.144
I 0.900 0.750 0.892
I 0.952 0.250 0.644
```

## Properties
* space-group type: P2_1/m (11)
* E_tot: -5.15 eV/atom
* total magnetization: 0.0 μB/f.u.
* crystal system: monoclinic
* D(E_F): 0.1 states/eV/f.u.
* uncorrected formation energy: -0.937 eV per atom

---

2.
Below is a geometry-optimized Tl2RuPb structure, with properties calculated at the GGA-PBEsol level. Values from VASP.

```
&SYSTEM
  ibrav = 0, nat = 4, ntyp = 3
/
ATOMIC_SPECIES
Tl 204.38 Tl.upf
Ru 101.07 Ru.upf
Pb 207.20 Pb.upf
CELL_PARAMETERS angstrom
1.639 0.947 9.878
-1.639 0.947 9.878
0.000 -1.893 9.878
ATOMIC_POSITIONS crystal
Tl 0.236 0.236 0.236
Tl 0.764 0.764 0.764
Ru 0.500 0.500 0.500
Pb 0.000 0.000 0.000
```

## Properties
* space-group type: R-3m (166)
* E_tot: -4.38 eV/atom
* total magnetization: 0.0 μB/f.u.
* distance to the lowest polymorph of the same formula: 0.177 eV per atom
* energy of formation from the pure elements: 0.48 eV/atom
* crystal system: trigonal
* D(E_F): 3.9 states/eV/f.u.

---

3.
Below is a geometry-optimized Si3Hg structure, with properties calculated at the GGA-PBEsol level. Values from VASP.

```
&SYSTEM
  ibrav = 0, nat = 4, ntyp = 2
/
ATOMIC_SPECIES
Si 28.09 Si.upf
Hg 200.59 Hg.upf
CELL_PARAMETERS angstrom
3.154 0.000 0.000
0.000 3.154 0.000
0.000 0.000 7.115
ATOMIC_POSITIONS crystal
Si 0.000 0.000 0.000
Si 0.500 0.500 0.182
Si 0.500 0.500 0.818
Hg 0.000 0.000 0.500
```

## Properties
* space-group type: P4/mmm (123)
* E_tot: -4.05 eV/atom
* total magnetization: 0.0 μB/f.u.
* distance to the lowest polymorph of the same formula: 0.000 eV per atom
* crystal system: tetragonal
* D(E_F): 1.6 states/eV/f.u.
* uncorrected formation energy: 0.406 eV per atom

---

4.
Below is a geometry-optimized CaMgPt2 structure, with properties calculated at the GGA-PBEsol level. Values from VASP.

```
&SYSTEM
  ibrav = 0, nat = 4, ntyp = 3
/
ATOMIC_SPECIES
Ca 40.08 Ca.upf
Mg 24.30 Mg.upf
Pt 195.08 Pt.upf
CELL_PARAMETERS angstrom
3.616 0.000 0.000
0.000 3.616 0.000
0.000 0.000 5.787
ATOMIC_POSITIONS crystal
Ca 0.000 0.000 0.000
Mg 0.500 0.500 0.341
Pt 0.000 0.000 0.506
Pt 0.500 0.500 0.796
```

## Properties
* space-group type: P4mm (99)
* E_tot: -4.87 eV/atom
* total magnetization: 0.0 μB/f.u.
* energy of formation from the pure elements: -0.43 eV/atom
* crystal system: tetragonal
* D(E_F): 1.9 states/eV/f.u.

---

5.
Below is a geometry-optimized Cs2CdHg2 structure, with properties calculated at the GGA-PBEsol level. Values from VASP.

```
&SYSTEM
  ibrav = 0, nat = 5, ntyp = 3
/
ATOMIC_SPECIES
Cs 132.91 Cs.upf
Cd 112.41 Cd.upf
Hg 200.59 Hg.upf
CELL_PARAMETERS angstrom
-3.534 3.534 4.381
3.534 -3.534 4.381
3.534 3.534 -4.381
ATOMIC_POSITIONS crystal
Cs 0.250 0.750 0.500
Cs 0.750 0.250 0.500
Cd 0.000 0.000 0.000
Hg 0.336 0.336 0.000
Hg 0.664 0.664 0.000
```

## Properties
* space-group type: I4/mmm (139)
* E_tot: -0.90 eV/atom
* total magnetization: 0.0 μB/f.u.
* distance to the lowest polymorph of the same formula: 0.046 eV per atom
* energy of formation from the pure elements: -0.06 eV/atom
* crystal system: tetragonal
* D(E_F): 2.3 states/eV/f.u.

---

6.
Below is a geometry-optimized KAs2HPd structure, with properties calculated at the GGA-PBEsol level. Values from VASP.

```
&SYSTEM
  ibrav = 0, nat = 5, ntyp = 4
/
ATOMIC_SPECIES
K 39.10 K.upf
As 74.92 As.upf
H 1.01 H.upf
Pd 106.42 Pd.upf
CELL_PARAMETERS angstrom
4.621 0.000 0.000
0.000 4.621 0.000
0.000 0.000 6.629
ATOMIC_POSITIONS crystal
K 0.000 0.000 0.000
As 0.000 0.500 0.500
As 0.500 0.000 0.500
H 0.500 0.500 0.000
Pd 0.000 0.000 0.500
```

## Properties
* space-group type: P4/mmm (123)
* E_tot: -3.63 eV/atom
* total magnetization: 0.1 μB/f.u.
* crystal system: tetragonal
* D(E_F): 2.8 states/eV/f.u.

---

7.
Below is a geometry-optimized AsPd2O structure, with properties calculated at the GGA-PBEsol level. Values from VASP.

```
&SYSTEM
  ibrav = 0, nat = 4, ntyp = 3
/
ATOMIC_SPECIES
As 74.92 As.upf
Pd 106.42 Pd.upf
O 16.00 O.upf
CELL_PARAMETERS angstrom
0.000 2.945 2.945
2.945 0.000 2.945
2.945 2.945 0.000
ATOMIC_POSITIONS crystal
As 0.000 0.000 0.000
Pd 0.250 0.250 0.250
Pd 0.750 0.750 0.750
O 0.500 0.500 0.500
```

## Properties
* space-group type: Fm-3m (225)
* E_tot: -5.77 eV/atom
* total magnetization: 0.0 μB/f.u.
* crystal system: cubic
* D(E_F): 1.1 states/eV/f.u.
* uncorrected formation energy: -0.206 eV per atom

---

8.
Below is a geometry-optimized Na2HfMo structure, with properties calculated at the GGA-PBEsol level. Values from VASP.

```
&SYSTEM
  ibrav = 0, nat = 8, ntyp = 3
/
ATOMIC_SPECIES
Na 22.99 Na.upf
Hf 178.49 Hf.upf
Mo 95.94 Mo.upf
CELL_PARAMETERS angstrom
-4.159 4.159 2.524
4.159 -4.159 2.524
4.159 4.159 -2.524
ATOMIC_POSITIONS crystal
Na 0.108 0.625 0.983
Na 0.375 0.358 0.483
Na 0.642 0.125 0.017
Na 0.875 0.892 0.517
Hf 0.250 0.750 0.500
Hf 0.500 0.500 0.000
Mo 0.000 0.000 0.000
Mo 0.750 0.250 0.500
```

## Properties
* space-group type: I-42d (122)
* E_tot: -4.89 eV/atom
* total magnetization: 0.6 μB/f.u.
* energy of formation from the pure elements: 1.37 eV/atom
* crystal system: tetragonal
* D(E_F): 3.2 states/eV/f.u.

---

9.
Below is a geometry-optimized InTc2Rh structure, with properties calculated at the GGA-PBEsol level. Values from VASP.

```
&SYSTEM
  ibrav = 0, nat = 4, ntyp = 3
/
ATOMIC_SPECIES
In 114.82 In.upf
Tc 98.00 Tc.upf
Rh 102.91 Rh.upf
CELL_PARAMETERS angstrom
2.809 0.000 0.000
0.000 3.804 0.000
0.000 0.000 5.689
ATOMIC_POSITIONS crystal
In 0.000 0.000 0.000
Tc 0.000 0.000 0.507
Tc 0.500 0.500 0.706
Rh 0.500 0.500 0.245
```

## Properties
* space-group type: Pmm2 (25)
* E_tot: -8.34 eV/atom
* total magnetization: 0.0 μB/f.u.
* energy of formation from the pure elements: 0.07 eV/atom
* crystal system: orthorhombic
* D(E_F): 4.2 states/eV/f.u.

---

10.
Below is a geometry-optimized KZr2RuI structure, with properties calculated at the GGA-PBEsol level. Values from VASP.

```
&SYSTEM
  ibrav = 0, nat = 5, ntyp = 4
/
ATOMIC_SPECIES
K 39.10 K.upf
Zr 91.22 Zr.upf
Ru 101.07 Ru.upf
I 126.90 I.upf
CELL_PARAMETERS angstrom
5.104 0.000 0.000
0.000 5.104 0.000
0.000 0.000 4.369
ATOMIC_POSITIONS crystal
K 0.000 0.000 0.000
Zr 0.000 0.500 0.000
Zr 0.500 0.000 0.000
Ru 0.000 0.000 0.500
I 0.500 0.500 0.500
```

## Properties
* space-group type: P4/mmm (123)
* E_tot: -4.19 eV/atom
* total magnetization: 0.0 μB/f.u.
* crystal system: tetragonal
* D(E_F): 6.6 states/eV/f.u.
* uncorrected formation energy: 2.059 eV per atom

---

11.
Below is a geometry-optimized KCo2Ru structure, with properties calculated at the GGA-PBEsol level. Values from VASP.

```
&SYSTEM
  ibrav = 0, nat = 4, ntyp = 3
/
ATOMIC_SPECIES
K 39.10 K.upf
Co 58.93 Co.upf
Ru 101.07 Ru.upf
CELL_PARAMETERS angstrom
2.534 0.000 0.000
0.000 4.739 0.000
0.000 0.000 4.976
ATOMIC_POSITIONS crystal
K 0.000 0.000 0.000
Co 0.000 0.500 0.500
Co 0.500 0.500 0.000
Ru 0.500 0.000 0.500
```

## Properties
* space-group type: Pmmm (47)
* E_tot: -5.24 eV/atom
* total magnetization: 3.9 μB/f.u.
* distance to the lowest polymorph of the same formula: 0.680 eV per atom
* energy of formation from the pure elements: 1.45 eV/atom
* crystal system: orthorhombic
* D(E_F): 5.3 states/eV/f.u.

---

12.
Below is a geometry-optimized TeRhSe2 structure, with properties calculated at the GGA-PBEsol level. Values from VASP.

```
&SYSTEM
  ibrav = 0, nat = 8, ntyp = 3
/
ATOMIC_SPECIES
Te 127.60 Te.upf
Rh 102.91 Rh.upf
Se 78.96 Se.upf
CELL_PARAMETERS angstrom
-3.434 3.434 3.845
3.434 -3.434 3.845
3.434 3.434 -3.845
ATOMIC_POSITIONS crystal
Te 0.000 0.000 0.000
Te 0.750 0.250 0.500
Rh 0.250 0.750 0.500
Rh 0.500 0.500 0.000
Se 0.182 0.625 0.057
Se 0.375 0.432 0.557
Se 0.568 0.125 0.943
Se 0.875 0.818 0.443
```

## Properties
* space-group type: I-42d (122)
* E_tot: -4.79 eV/atom
* total magnetization: 0.0 μB/f.u.
* crystal system: tetragonal
* D(E_F): 2.7 states/eV/f.u.
* uncorrected formation energy: 0.048 eV per atom

---

13.
Below is a geometry-optimized CaScAg structure, with properties calculated at the GGA-PBEsol level. Values from VASP.

```
&SYSTEM
  ibrav = 0, nat = 3, ntyp = 3
/
ATOMIC_SPECIES
Ca 40.08 Ca.upf
Sc 44.96 Sc.upf
Ag 107.87 Ag.upf
CELL_PARAMETERS angstrom
0.000 3.433 3.433
3.433 0.000 3.433
3.433 3.433 0.000
ATOMIC_POSITIONS crystal
Ca 0.000 0.000 0.000
Sc 0.500 0.500 0.500
Ag 0.250 0.250 0.250
```

## Properties
* space-group type: F-43m (216)
* E_tot: -3.90 eV/atom
* total magnetization: 0.0 μB/f.u.
* energy of formation from the pure elements: 0.12 eV/atom
* crystal system: cubic
* D(E_F): 4.8 states/eV/f.u.

---

14.
Below is a geometry-optimized CeMg structure, with properties calculated at the GGA-PBEsol level. Values from VASP.

```
&SYSTEM
  ibrav = 0, nat = 4, ntyp = 2
/
ATOMIC_SPECIES
Ce 140.12 Ce.upf
Mg 24.30 Mg.upf
CELL_PARAMETERS angstrom
3.032 0.000 0.000
0.000 5.027 0.000
0.000 0.000 6.191
ATOMIC_POSITIONS crystal
Ce 0.250 0.250 0.055
Ce 0.750 0.750 0.945
Mg 0.250 0.750 0.426
Mg 0.750 0.250 0.574
```

## Properties
* space-group type: Pmmn (59)
* E_tot: -4.13 eV/atom
* total magnetization: 0.0 μB/f.u.
* energy of formation from the pure elements: 0.03 eV/atom
* crystal system: orthorhombic
* D(E_F): 3.3 states/eV/f.u.